Material: P2HSI
Method: DFT, PBE
State: relaxed

Space group: No. 123
Crystal system: tetragonal
Total DFT energy (no corrections), eV/cell: -15.53
Density of states at the Fermi level, states/eV per atom: 0.67
Offset from the most stable computed form, eV per atom: 0.000

Lattice parameters (Å, degrees): 3.7448 3.7448 8.1367 90.00 90.00 90.00
With the nearest neighbours (Å) after each atom.
Positions (direct):
H  0.0000  0.0000  0.0000  4 P 1.87
I  0.5000  0.5000  0.5000  4 S 2.65
P  0.0000  0.5000  0.0000  2 H 1.87
P  0.5000  0.0000  0.0000  2 H 1.87
S  0.0000  0.0000  0.5000  4 I 2.65

Material: PdRhO2F
Method: DFT, PBE
State: relaxed

Formation energy without anion corrections, eV per atom: -0.166
Space group: No. 123
Crystal system: tetragonal
Total DFT energy (no corrections), eV/cell: -25.16
Density of states at the Fermi level, states/eV per atom: 1.68

Lattice parameters (Å, degrees): 3.8758 3.8758 4.2181 90.00 90.00 90.00
With the nearest neighbours (Å) after each atom.
Positions (direct):
Pd  0.5000  0.5000  0.5000  4 F 2.74, 8 O 2.86
O  0.5000  0.0000  0.0000  2 Rh 1.94
Rh  0.0000  0.0000  0.0000  4 O 1.94, 2 F 2.11
F  0.0000  0.0000  0.5000  2 Rh 2.11
O  0.0000  0.5000  0.0000  2 Rh 1.94

Material: CdSi
Method: DFT, PBE
State: relaxed

Formation energy without anion corrections, eV per atom: 0.736
Space group: No. 191
Crystal system: hexagonal
Total DFT energy (no corrections), eV/cell: -14.60
Density of states at the Fermi level, states/eV per atom: 0.56

Lattice parameters (Å, degrees): 6.2349 6.2349 4.1713 90.00 90.00 120.00
With the nearest neighbours (Å) after each atom.
Positions (direct):
Cd  0.5000  0.0000  0.0000  4 Si 2.75
Cd  0.5000  0.5000  0.0000  4 Si 2.75
Si  0.0000  0.0000  0.0000  6 Cd 3.12
Si  0.6667  0.3333  0.5000  6 Cd 2.75
Si  0.3333  0.6667  0.5000  6 Cd 2.75
Cd  0.0000  0.5000  0.0000  4 Si 2.75

Material: Cs2CrRhBr6
Method: DFT, PBE
State: relaxed

Formation energy without anion corrections, eV per atom: -0.943
Space group: No. 139
Crystal system: tetragonal
Total DFT energy (no corrections), eV/cell: -38.15
Density of states at the Fermi level, states/eV per atom: 0.12

Lattice parameters (Å, degrees): 7.5205 7.5205 7.5246 60.02 60.02 90.00
With the nearest neighbours (Å) after each atom.
Positions (direct):
Br  0.7504  0.7504  0.0000  1 Rh 2.65, 1 Cr 2.66
Br  0.2496  0.7504  0.0000  1 Rh 2.65, 1 Cr 2.66
Br  0.7492  0.7492  0.5016  1 Cr 2.65, 1 Rh 2.67
Br  0.7504  0.2496  0.0000  1 Rh 2.65, 1 Cr 2.66
Rh  0.0000  0.0000  0.0000  6 Br 2.65-2.67
Br  0.2508  0.2508  0.4984  1 Cr 2.65, 1 Rh 2.67
Cs  0.7500  0.2500  0.5000  12 Br 3.76
Br  0.2496  0.2496  0.0000  1 Rh 2.65, 1 Cr 2.66
Cs  0.2500  0.7500  0.5000  12 Br 3.76
Cr  0.5000  0.5000  0.0000  6 Br 2.65-2.66